# KBaSbO4

A geometry-optimized KBaSbO4 structure (PBE-GGA, Alexandria).

Computed properties:
Electronic total energy = -5.668 eV/atom
Volume = 268 Å³ per cell
Space-group type = Imma (74)
Formation energy without anion corrections = -1.8147 eV/atom
Mass density = 4.50 g cm⁻³

Lattice parameters (Å, degrees): 7.225 7.225 7.225 123.16 115.74 91.07
Fractional coordinates of all 14 atoms:
1 K 0.500 0.000 0.000
2 K 0.500 0.500 0.500
3 Ba 0.000 0.000 0.000
4 Ba 0.500 0.000 0.500
5 Sb 0.122 0.372 0.750
6 Sb 0.878 0.628 0.250
7 O 0.191 0.733 0.458
8 O 0.224 0.267 0.958
9 O 0.235 0.258 0.524
10 O 0.235 0.711 0.976
11 O 0.765 0.289 0.024
12 O 0.765 0.742 0.476
13 O 0.776 0.733 0.042
14 O 0.809 0.267 0.542